# 1
Compound: Pr3Cu2Ir
Source: Alexandria
Functional: GGA-PBE
Structure: optimized geometry

Cell: 12.0243 4.2839 11.6984 Å, 90.00 90.00 90.00°
Closest atoms and distances in Å follow each position.
Space group Pnma (No. 62)
Unique sites:
Pr  0.0525  0.2500  0.1232 (multiplicity 4)  1 Ir 2.98, 5 Cu 3.07-3.32
Pr  0.1173  0.7500  0.5552 (multiplicity 4)  3 Ir 3.02-3.07, 5 Cu 3.12-3.16
Pr  0.2250  0.2500  0.7961 (multiplicity 4)  2 Ir 2.95, 4 Cu 3.13-3.20
Cu  0.0151  0.7500  0.3072 (multiplicity 4)  2 Ir 2.59
Cu  0.1978  0.7500  0.9971 (multiplicity 4)  1 Ir 2.65
Ir  0.1219  0.2500  0.3674 (multiplicity 4)  3 Cu 2.59-2.65

Output
Total magnetization: 0.0 μB per formula unit
Raw total energy: -0.2036 hartree per atom
N(E_F): 5.77 states/eV/f.u.
Formation energy: -0.308 eV/atom

# 2
Compound: Cr2CdPb
Source: Alexandria
Functional: GGA-PBE
Structure: optimized geometry

Cell: 3.2456 3.2456 27.8687 Å, 90.00 90.00 120.00°
Closest atoms and distances in Å follow each position.
Space group R-3m (No. 166, hexagonal axes)
Unique sites:
Cr  0.0000  0.0000  0.2462 (multiplicity 6)  3 Cd 2.90, 3 Pb 3.07, 6 Cr 3.25
Cd  0.0000  0.0000  0.5000 (multiplicity 3)  6 Cr 2.90, 6 Cd 3.25
Pb  0.0000  0.0000  0.0000 (multiplicity 3)  6 Cr 3.07, 6 Pb 3.25

Output
Total magnetization: 8.0 μB per formula unit
Raw total energy: -0.1935 hartree per atom
N(E_F): 4.38 states/eV/f.u.
Formation energy: 0.703 eV/atom

# 3
Compound: LaIr3
Source: Alexandria
Functional: GGA-PBE
Structure: optimized geometry

Cell: 6.1192 10.0662 4.6432 Å, 90.00 90.00 90.00°
Closest atoms and distances in Å follow each position.
Space group Cmcm (No. 63)
Unique sites:
La  0.0000  0.0902  0.2500 (multiplicity 4)  10 Ir 2.78-3.11, 2 La 2.95
Ir  0.0000  0.4221  0.7500 (multiplicity 4)  10 Ir 2.80-3.08, 2 La 3.06
Ir  0.2194  0.3322  0.2500 (multiplicity 8)  6 Ir 2.68-2.88, 3 La 2.78-2.99

Output
Total magnetization: 0.0 μB per formula unit
Raw total energy: -0.2925 hartree per atom
N(E_F): 2.90 states/eV/f.u.
Formation energy: -0.083 eV/atom

# 4
Compound: Pa2GeRh3
Source: Alexandria
Functional: GGA-PBE
Structure: optimized geometry

Cell: 6.2653 9.0897 15.6713 Å, 90.00 90.00 90.00°
Closest atoms and distances in Å follow each position.
Space group Fmmm (No. 69)
Unique sites:
Pa  0.2301  0.0000  0.0000 (multiplicity 8)  1 Pa 2.88, 10 Rh 3.05-3.13, 2 Ge 3.10
Pa  0.2500  0.2500  0.2500 (multiplicity 8)  8 Rh 3.00-3.01, 4 Ge 3.06, 2 Pa 3.13
Ge  0.0000  0.0000  0.3340 (multiplicity 8)  3 Rh 2.46-2.52
Rh  0.0000  0.0000  0.1732 (multiplicity 8)  1 Ge 2.52, 2 Rh 2.76
Rh  0.0000  0.2345  0.4127 (multiplicity 16)  1 Ge 2.46, 1 Rh 2.74

Output
Total magnetization: 0.0 μB per formula unit
Raw total energy: -0.3042 hartree per atom
N(E_F): 7.10 states/eV/f.u.
Formation energy: -0.666 eV/atom

# 5
Compound: TlCuCl3
Source: Alexandria
Functional: GGA-PBE
Structure: optimized geometry

Cell: 4.8710 4.8710 4.8714 Å, 90.00 90.00 90.00°
Closest atoms and distances in Å follow each position.
Space group P4mm (No. 99)
Unique sites:
Tl  0.0000  0.0000  0.0000 (multiplicity 1)  12 Cl 3.44-3.45
Cu  0.5000  0.5000  0.4982 (multiplicity 1)  6 Cl 2.43-2.44
Cl  0.0000  0.5000  0.4985 (multiplicity 2)  2 Cu 2.44
Cl  0.5000  0.5000  0.9984 (multiplicity 1)  2 Cu 2.43-2.44

Output
Uncorrected formation energy: -694 meV per atom
Total magnetization: 0.0 μB per formula unit
Raw total energy: -0.1137 hartree per atom
N(E_F): 1.58 states/eV/f.u.

# 6
Compound: NaScZnCd
Source: Alexandria
Functional: GGA-PBE
Structure: optimized geometry

Cell: 6.9879 6.9879 6.9879 Å, 90.00 90.00 90.00°
Closest atoms and distances in Å follow each position.
Space group F-43m (No. 216)
Unique sites:
Na  0.0000  0.0000  0.0000 (multiplicity 4)  4 Cd 3.03, 4 Zn 3.03
Sc  0.0000  0.0000  0.5000 (multiplicity 4)  4 Cd 3.03, 4 Zn 3.03
Zn  0.2500  0.2500  0.7500 (multiplicity 4)  4 Na 3.03, 4 Sc 3.03
Cd  0.2500  0.2500  0.2500 (multiplicity 4)  4 Na 3.03, 4 Sc 3.03

Output
Total magnetization: 0.0 μB per formula unit
Raw total energy: -0.0915 hartree per atom
N(E_F): 2.48 states/eV/f.u.
Formation energy: -0.031 eV/atom

# 7
Compound: Pr8Tl2Pb
Source: Alexandria
Functional: GGA-PBE
Structure: optimized geometry

Cell: 17.8150 5.0976 8.4517 Å, 90.00 111.06 90.00°
Closest atoms and distances in Å follow each position.
Space group C2/m (No. 12)
Unique sites:
Pr  0.0541  0.0000  0.2325 (multiplicity 4)  1 Tl 3.32, 5 Pr 3.42-3.70
Pr  0.0965  0.5000  0.9506 (multiplicity 4)  3 Tl 3.42-3.62, 7 Pr 3.56-3.82, 1 Pb 3.57
Pr  0.1441  0.0000  0.7083 (multiplicity 4)  3 Tl 3.39-3.49, 7 Pr 3.56-3.77, 2 Pb 3.60
Pr  0.1790  0.5000  0.4367 (multiplicity 4)  1 Tl 3.29, 6 Pr 3.42-3.63, 1 Pb 3.42
Tl  0.2230  0.0000  0.1513 (multiplicity 4)  8 Pr 3.29-3.62
Pb  0.0000  0.5000  0.5000 (multiplicity 2)  12 Pr 3.42-3.76

Output
Total magnetization: 0.0 μB per formula unit
Raw total energy: -0.1647 hartree per atom
N(E_F): 12.51 states/eV/f.u.
Formation energy: -0.239 eV/atom

# 8
Compound: La2YAs
Source: Alexandria
Functional: GGA-PBE
Structure: optimized geometry

Cell: 3.9796 3.9796 28.9193 Å, 90.00 90.00 120.00°
Closest atoms and distances in Å follow each position.
Space group R3m (No. 160, hexagonal axes)
Unique sites:
La  0.0000  0.0000  0.0000 (multiplicity 3)  3 As 2.98
La  0.0000  0.0000  0.2284 (multiplicity 3)  9 La 3.81-3.98, 3 Y 3.82
Y  0.0000  0.0000  0.4561 (multiplicity 3)  3 As 2.83
As  0.0000  0.0000  0.7324 (multiplicity 3)  3 Y 2.83, 3 La 2.98

Output
Total magnetization: 0.0 μB per formula unit
Raw total energy: -0.2164 hartree per atom
N(E_F): 3.19 states/eV/f.u.
Formation energy: -0.646 eV/atom

Repeat the fifth record exactly.
Compound: TlCuCl3
Source: Alexandria
Functional: GGA-PBE
Structure: optimized geometry

Cell: 4.8710 4.8710 4.8714 Å, 90.00 90.00 90.00°
Closest atoms and distances in Å follow each position.
Space group P4mm (No. 99)
Unique sites:
Tl  0.0000  0.0000  0.0000 (multiplicity 1)  12 Cl 3.44-3.45
Cu  0.5000  0.5000  0.4982 (multiplicity 1)  6 Cl 2.43-2.44
Cl  0.0000  0.5000  0.4985 (multiplicity 2)  2 Cu 2.44
Cl  0.5000  0.5000  0.9984 (multiplicity 1)  2 Cu 2.43-2.44

Output
Uncorrected formation energy: -694 meV per atom
Total magnetization: 0.0 μB per formula unit
Raw total energy: -0.1137 hartree per atom
N(E_F): 1.58 states/eV/f.u.